No. 1
# Ho3Tl3MoO8

A relaxed Ho3Tl3MoO8 crystal (GGA+U, Alexandria).

Its calculated volume is 527.2 Å³/cell. Its total energy is -6.7507 eV/atom.

The space group is C2/m (No. 12) and the conventional cell measures 11.868, 6.782 and 7.622 Å, with angles of 90.00, 120.76 and 90.00 degrees. Symmetry generates all atoms from Ho at (0.000, 0.000, 0.000), Ho at (0.250, 0.250, 0.000), Tl at (0.000, 0.500, 0.500), Tl at (0.250, 0.250, 0.500), Mo at (0.000, 0.500, 0.000), O at (0.024, 0.270, 0.838), O at (0.214, 0.500, 0.166) and O at (0.221, 0.000, 0.167).



No. 2
# HoTl2Mo3O12

A relaxed HoTl2Mo3O12 crystal (GGA+U, Alexandria).

Its calculated volume is 919.4 Å³/cell. Its total energy is -6.6309 eV/atom.

The space group is R-3m (No. 166, hexagonal axes) and the conventional cell measures 7.4958, 7.4958 and 18.8947 Å, with angles of 90.00, 90.00 and 120.00 degrees. Symmetry generates all atoms from Ho at (0.0000, 0.0000, 0.0000), Tl at (0.0000, 0.0000, 0.3347), Mo at (0.0000, 0.5000, 0.5000), O at (0.0451, 0.5225, 0.5996) and O at (0.0935, 0.5468, 0.8446).



No. 3
# HoTm2MoO8

A relaxed HoTm2MoO8 crystal (GGA+U, Alexandria).

Its calculated volume is 335.9 Å³/cell. Its total energy is -7.7413 eV/atom.

The space group is Cmmm (No. 65) and the conventional cell measures 7.023, 7.110 and 6.727 Å, with angles of 90.00, 90.00 and 90.00 degrees. Symmetry generates all atoms from Ho at (0.000, 0.000, 0.000), Tm at (0.000, 0.500, 0.251), Mo at (0.000, 0.000, 0.500), O at (0.000, 0.185, 0.286), O at (0.191, 0.500, 0.000) and O at (0.222, 0.500, 0.500).



No. 4
# HoTmMoO6

A relaxed HoTmMoO6 crystal (GGA+U, Alexandria).

Its calculated volume is 121.8 Å³/cell. Its total energy is -7.7944 eV/atom.

The space group is P312 (No. 149) and the conventional cell measures 5.4572, 5.4572 and 4.7216 Å, with angles of 90.00, 90.00 and 120.00 degrees. Symmetry generates all atoms from Ho at (0.0000, 0.0000, 0.0000), Tm at (0.6667, 0.3333, 0.5000), Mo at (0.3333, 0.6667, 0.0000) and O at (0.0312, 0.3726, 0.2304).



Q: Which formula does entry 4 have?
A: HoTmMoO6



Q: The lowest calculated volume belongs to which entry?
A: HoTmMoO6



Repeat the first record exactly.
# Ho3Tl3MoO8

A relaxed Ho3Tl3MoO8 crystal (GGA+U, Alexandria).

Its calculated volume is 527.2 Å³/cell. Its total energy is -6.7507 eV/atom.

The space group is C2/m (No. 12) and the conventional cell measures 11.868, 6.782 and 7.622 Å, with angles of 90.00, 120.76 and 90.00 degrees. Symmetry generates all atoms from Ho at (0.000, 0.000, 0.000), Ho at (0.250, 0.250, 0.000), Tl at (0.000, 0.500, 0.500), Tl at (0.250, 0.250, 0.500), Mo at (0.000, 0.500, 0.000), O at (0.024, 0.270, 0.838), O at (0.214, 0.500, 0.166) and O at (0.221, 0.000, 0.167).